1.
A relaxed structure of LiAlVO4, computed with PBE+U.

a b c (Å): 5.7609 5.8283 5.8249
angles (deg): 119.04 119.63 60.38
Site moments in Bohr magnetons follow the coordinates.
Sites, in units of the cell vectors:
O 0.2588 0.2600 0.2325  -0.01
O 0.7412 0.7399 0.7675  -0.01
O 0.7325 0.2961 0.7610  -0.02
O 0.7404 0.7209 0.2017  -0.01
O 0.2596 0.2791 0.7983  -0.01
O 0.2675 0.7039 0.2390  -0.02
O 0.7136 0.2601 0.2324  -0.01
O 0.2864 0.7399 0.7675  -0.01
Al 0.5000 0.5000 0.0000  0.00
Al 0.0000 0.5000 0.0000  0.00
V 0.5000 0.5000 0.5000  1.00
V 0.5000 0.0000 0.0000  1.04
Li 0.8684 0.8777 0.6144  0.00
Li 0.1316 0.1223 0.3856  0.00

## Properties
The space group is No. 12.

---

2.
A relaxed structure of Li3Al2VO6, computed with PBE+U.

a b c (Å): 5.0220 5.0220 5.1020
angles (deg): 99.24 99.24 120.39
Site moments in Bohr magnetons follow the coordinates.
Sites, in units of the cell vectors:
O 0.4216 0.0710 0.7176  0.00
O 0.7251 0.7251 0.7187  0.00
O 0.5784 0.9290 0.2824  0.00
O 0.2749 0.2749 0.2813  0.00
O 0.9290 0.5784 0.2824  0.00
O 0.0710 0.4216 0.7176  0.00
Al 0.6670 0.3330 0.5000  0.00
Al 0.3330 0.6670 0.5000  0.00
V 0.0000 0.0000 0.5000  1.89
Li 0.8303 0.1697 0.0000  0.00
Li 0.1697 0.8303 0.0000  0.00
Li 0.5000 0.5000 0.0000  0.00

## Properties
The space group is No. 12.

---

3.
A relaxed structure of LiAlVO4, computed with PBE+U.

a b c (Å): 8.7241 8.7241 8.7241
angles (deg): 107.52 107.52 107.52
Site moments in Bohr magnetons follow the coordinates.
Sites, in units of the cell vectors:
O 0.3395 0.6508 0.3132  0.00
O 0.7186 0.0449 0.0203  -0.04
O 0.9797 0.2814 0.9551  -0.04
O 0.0449 0.0203 0.7186  -0.04
O 0.3898 0.3289 0.0523  -0.02
O 0.3289 0.0523 0.3898  -0.02
O 0.9082 0.2516 0.5861  -0.01
O 0.6508 0.3132 0.3395  0.00
O 0.3132 0.3395 0.6508  0.00
O 0.0203 0.7186 0.0449  -0.04
O 0.9551 0.9797 0.2814  -0.04
O 0.4139 0.0918 0.7484  -0.01
O 0.2516 0.5861 0.9082  -0.01
O 0.5861 0.9082 0.2516  -0.01
O 0.3492 0.6868 0.6605  0.00
O 0.2814 0.9551 0.9797  -0.04
O 0.6868 0.6605 0.3492  0.00
O 0.6605 0.3492 0.6868  0.00
O 0.6102 0.6711 0.9477  -0.02
O 0.7484 0.4139 0.0918  -0.01
O 0.0523 0.3898 0.3289  -0.02
O 0.0918 0.7484 0.4139  -0.01
O 0.6711 0.9477 0.6102  -0.02
O 0.9477 0.6102 0.6711  -0.02
Al 0.6190 0.4362 0.2166  0.01
Al 0.2166 0.6190 0.4362  0.01
Al 0.4362 0.2166 0.6190  0.01
Al 0.3810 0.5638 0.7834  0.01
Al 0.5638 0.7834 0.3810  0.01
Al 0.7834 0.3810 0.5638  0.01
Li 0.7581 0.5307 0.9300  0.00
Li 0.9300 0.7581 0.5307  0.00
Li 0.4693 0.0700 0.2419  0.00
Li 0.5307 0.9300 0.7581  0.00
Li 0.0700 0.2419 0.4693  0.00
Li 0.2419 0.4693 0.0700  0.00
V 0.1298 0.7195 0.8906  1.04
V 0.7195 0.8906 0.1298  1.04
V 0.8906 0.1298 0.7195  1.04
V 0.1094 0.8702 0.2805  1.04
V 0.8702 0.2805 0.1094  1.04
V 0.2805 0.1094 0.8702  1.04

## Properties
The space group is No. 148.

---

4.
A relaxed structure of Li3Al2VO6, computed with PBE+U.

a b c (Å): 5.3734 5.8553 7.8348
angles (deg): 90.96 97.92 90.63
Site moments in Bohr magnetons follow the coordinates.
Sites, in units of the cell vectors:
O 0.8281 0.8112 0.9262  -0.01
O 0.3427 0.6407 0.9243  0.01
O 0.5315 0.8305 0.2448  0.00
O 0.9715 0.6651 0.2542  -0.01
O 0.8594 0.1467 0.4189  -0.01
O 0.6866 0.6808 0.5727  0.01
O 0.1406 0.8533 0.5811  -0.01
O 0.4685 0.1695 0.7552  0.00
O 0.0285 0.3349 0.7458  -0.01
O 0.6573 0.3593 0.0757  0.01
O 0.1719 0.1888 0.0738  -0.01
O 0.3134 0.3192 0.4273  0.01
V 0.9972 0.6675 0.7519  1.90
V 0.0028 0.3325 0.2481  1.90
Li 0.5056 0.8334 0.7467  0.00
Li 0.6500 0.3378 0.5782  0.00
Li 0.8244 0.1571 0.9065  0.00
Li 0.1756 0.8429 0.0935  0.00
Li 0.4944 0.1666 0.2533  0.00
Li 0.3500 0.6622 0.4218  0.00
Al 0.8189 0.8336 0.4105  0.00
Al 0.1811 0.1664 0.5895  0.00
Al 0.6539 0.6725 0.0768  0.00
Al 0.3461 0.3275 0.9232  0.00

## Properties
The space group is No. 2.

---

5.
A relaxed structure of LiAlVO4, computed with PBE+U.

a b c (Å): 2.9182 9.4669 10.0786
angles (deg): 90.00 90.00 90.00
Site moments in Bohr magnetons follow the coordinates.
Sites, in units of the cell vectors:
Li 0.7500 0.9126 0.6247  0.00
Li 0.7500 0.4126 0.8753  0.00
Li 0.2500 0.5874 0.1247  0.00
Li 0.2500 0.0874 0.3753  0.00
O 0.2500 0.8473 0.7554  0.01
O 0.2500 0.9056 0.2088  -0.03
O 0.7500 0.8979 0.9628  -0.02
O 0.2500 0.4056 0.2912  -0.03
O 0.7500 0.6527 0.2554  0.01
O 0.7500 0.5944 0.7088  -0.03
O 0.7500 0.3979 0.5372  -0.02
O 0.2500 0.1394 0.5606  -0.02
O 0.7500 0.1527 0.2446  0.01
O 0.7500 0.0944 0.7912  -0.03
O 0.2500 0.1021 0.0372  -0.02
O 0.2500 0.3473 0.7446  0.01
O 0.7500 0.3606 0.0606  -0.02
O 0.2500 0.6021 0.4628  -0.02
O 0.2500 0.6394 0.9394  -0.02
O 0.7500 0.8606 0.4394  -0.02
Al 0.7500 0.4980 0.3750  0.00
Al 0.2500 0.5020 0.6250  0.00
Al 0.2500 0.0020 0.8750  0.00
Al 0.7500 0.9980 0.1250  0.00
V 0.2500 0.7738 0.3467  1.03
V 0.2500 0.2738 0.1533  1.03
V 0.7500 0.7262 0.8467  1.03
V 0.7500 0.2262 0.6533  1.03

## Properties
The space group is No. 62.

---

6.
A relaxed structure of LiAlVO4, computed with PBE+U.

a b c (Å): 8.7320 8.7320 8.7320
angles (deg): 107.55 107.55 107.55
Site moments in Bohr magnetons follow the coordinates.
Sites, in units of the cell vectors:
V 0.2026 0.4329 0.6112  1.01
V 0.1272 0.9005 0.7221  0.99
V 0.9005 0.7221 0.1272  0.99
V 0.4329 0.6112 0.2026  1.01
V 0.7221 0.1272 0.9005  0.99
V 0.6112 0.2026 0.4329  1.01
Li 0.5639 0.3911 0.7879  0.00
Li 0.8748 0.0997 0.2740  0.00
Li 0.7879 0.5639 0.3911  0.00
Li 0.0997 0.2740 0.8748  0.00
Li 0.2740 0.8748 0.0997  0.00
Li 0.3911 0.7879 0.5639  0.00
Al 0.9459 0.5421 0.7645  0.01
Al 0.4644 0.2374 0.0541  0.01
Al 0.0541 0.4644 0.2374  0.01
Al 0.7645 0.9459 0.5421  0.01
Al 0.5421 0.7645 0.9459  0.01
Al 0.2374 0.0541 0.4644  0.01
O 0.7491 0.0828 0.4286  -0.02
O 0.3579 0.3818 0.0459  -0.01
O 0.9862 0.0180 0.6942  0.00
O 0.0459 0.3579 0.3818  -0.01
O 0.0180 0.6942 0.9862  0.00
O 0.2496 0.9257 0.5885  -0.01
O 0.6942 0.9862 0.0180  0.00
O 0.9257 0.5885 0.2496  -0.01
O 0.0828 0.4286 0.7491  -0.02
O 0.0150 0.9535 0.2951  -0.01
O 0.3806 0.6609 0.7204  -0.01
O 0.4286 0.7491 0.0828  -0.02
O 0.2809 0.6042 0.3083  0.00
O 0.6042 0.3083 0.2809  0.00
O 0.6609 0.7204 0.3806  -0.01
O 0.6700 0.6408 0.9731  -0.02
O 0.9535 0.2951 0.0150  -0.01
O 0.9731 0.6700 0.6408  -0.02
O 0.3083 0.2809 0.6042  0.00
O 0.5885 0.2496 0.9257  -0.01
O 0.3818 0.0459 0.3579  -0.01
O 0.7204 0.3806 0.6609  -0.01
O 0.6408 0.9731 0.6700  -0.02
O 0.2951 0.0150 0.9535  -0.01

## Properties
The space group is No. 146.

---

7.
A relaxed structure of LiAlVO4, computed with PBE+U.

a b c (Å): 5.8095 5.8095 8.1653
angles (deg): 90.00 90.00 90.00
Site moments in Bohr magnetons follow the coordinates.
Sites, in units of the cell vectors:
O 0.5069 0.2663 0.7601  -0.01
O 0.7337 0.5069 0.5100  -0.01
O 0.7329 0.9964 0.4890  -0.01
O 0.5069 0.7337 0.7400  -0.01
O 0.0036 0.2671 0.2610  -0.01
O 0.0036 0.7329 0.2390  -0.01
O 0.4931 0.2663 0.2399  -0.01
O 0.7329 0.0036 0.0110  -0.01
O 0.2663 0.5069 0.4900  -0.01
O 0.2663 0.4931 0.0100  -0.01
O 0.9964 0.2671 0.7390  -0.01
O 0.2671 0.0036 0.9890  -0.01
O 0.2671 0.9964 0.5110  -0.01
O 0.7337 0.4931 0.9899  -0.01
O 0.9964 0.7329 0.7610  -0.01
O 0.4931 0.7337 0.2601  -0.01
Al 0.2582 0.7418 0.8750  0.01
Al 0.7418 0.7418 0.1250  0.01
Al 0.7418 0.2582 0.3750  0.01
Al 0.2582 0.2582 0.6250  0.01
V 0.7747 0.5000 0.7500  1.02
V 0.2253 0.5000 0.2500  1.02
V 0.5000 0.2253 0.0000  1.02
V 0.5000 0.7747 0.5000  1.02
Li 0.2265 0.0000 0.2500  0.00
Li 0.7734 0.0000 0.7500  0.00
Li 0.0000 0.7734 0.5000  0.00
Li 0.0000 0.2266 0.0000  0.00

## Properties
The space group is No. 95.

---

8.
A relaxed structure of LiAlVO4, computed with PBE+U.

a b c (Å): 5.2469 5.7860 7.6712
angles (deg): 101.44 108.35 91.21
Site moments in Bohr magnetons follow the coordinates.
Sites, in units of the cell vectors:
O 0.2767 0.1372 0.5127  0.01
O 0.7094 0.6993 0.8244  0.01
O 0.7138 0.5354 0.1629  -0.01
O 0.7051 0.2247 0.8220  0.00
O 0.3007 0.9698 0.8361  -0.03
O 0.6956 0.8815 0.4955  -0.02
O 0.3035 0.7797 0.1840  -0.03
O 0.3146 0.6064 0.5088  0.00
O 0.2945 0.3027 0.1740  -0.01
O 0.7054 0.3579 0.4830  -0.02
O 0.6887 0.0462 0.1493  -0.04
O 0.2988 0.4614 0.8515  -0.03
Al 0.5027 0.2558 0.9981  0.00
Al 0.5053 0.4151 0.6668  0.01
Al 0.5189 0.5804 0.3409  0.00
V 0.4948 0.9098 0.6664  1.04
V 0.5172 0.7509 0.0031  1.01
V 0.4617 0.0800 0.3232  1.01
Li 0.0009 0.3614 0.3474  0.00
Li 0.9898 0.1465 0.6594  0.00
Li 0.0050 0.5049 0.9956  0.00

## Properties
The space group is No. 1.

---

| no. | excess energy over the best structure of this formula in the dataset (meV/atom) |
| --- | --- |
| 1 | 0 |
| 2 | 0 |
| 3 | 39 |
| 4 | 31 |
| 5 | 17 |
| 6 | 35 |
| 7 | 8 |
| 8 | 58 |